Record 1
Crystalline NaCa2AgH at its relaxed geometry, computed with PBE.

For the total DFT energy (no corrections), the calculation gives -2.50 eV per atom.

The structure in CIF format:
```
data_NaCa2AgH
_space_group_name_H-M_alt 'P 1'
_space_group_IT_number 1
_space_group_name_Hall 'P 1'
_cell_length_a 4.979
_cell_length_b 4.979
_cell_length_c 4.568
_cell_angle_alpha 90.00
_cell_angle_beta 90.00
_cell_angle_gamma 90.00
loop_
_atom_site_label
_atom_site_type_symbol
_atom_site_fract_x
_atom_site_fract_y
_atom_site_fract_z
_atom_site_occupancy
Na1 Na 0.000 0.000 0.500 1
H1 H 0.000 0.000 0.000 1
Ca1 Ca 0.500 0.000 0.000 1
Ca2 Ca 0.000 0.500 0.000 1
Ag1 Ag 0.500 0.500 0.500 1
```

=====

Record 2
Crystalline Na2CaAgH at its relaxed geometry, computed with PBE.

For the total DFT energy (no corrections), the calculation gives -1.72 eV per atom. The energy relative to the lowest polymorph listed for this composition comes out at 2.76 eV/f.u.

The structure in CIF format:
```
data_Na2CaAgH
_space_group_name_H-M_alt 'P 1'
_space_group_IT_number 1
_space_group_name_Hall 'P 1'
_cell_length_a 5.475
_cell_length_b 5.884
_cell_length_c 5.475
_cell_angle_alpha 90.00
_cell_angle_beta 90.00
_cell_angle_gamma 90.00
loop_
_atom_site_label
_atom_site_type_symbol
_atom_site_fract_x
_atom_site_fract_y
_atom_site_fract_z
_atom_site_occupancy
Na1 Na 0.000 0.000 0.500 1
Na2 Na 0.500 0.000 0.000 1
Ag1 Ag 0.000 0.000 0.000 1
Ca1 Ca 0.000 0.500 0.000 1
H1 H 0.500 0.500 0.500 1
```

=====

Record 3
Crystalline CaNb2AgH at its relaxed geometry, computed with PBE.

For the total DFT energy (no corrections), the calculation gives -3.07 eV per atom.

The structure in CIF format:
```
data_CaNb2AgH
_space_group_name_H-M_alt 'P 1'
_space_group_IT_number 1
_space_group_name_Hall 'P 1'
_cell_length_a 4.881
_cell_length_b 5.122
_cell_length_c 4.881
_cell_angle_alpha 90.00
_cell_angle_beta 90.00
_cell_angle_gamma 90.00
loop_
_atom_site_label
_atom_site_type_symbol
_atom_site_fract_x
_atom_site_fract_y
_atom_site_fract_z
_atom_site_occupancy
H1 H 0.500 0.500 0.500 1
Nb1 Nb 0.500 0.000 0.000 1
Ag1 Ag 0.000 0.500 0.000 1
Nb2 Nb 0.000 0.000 0.500 1
Ca1 Ca 0.000 0.000 0.000 1
```

=====

Record 4
Crystalline Ca2NiAg2H4 at its relaxed geometry, computed with PBE.

For the total DFT energy (no corrections), the calculation gives -3.34 eV per atom.

The structure in CIF format:
```
data_Ca2NiAg2H4
_space_group_name_H-M_alt 'P 1'
_space_group_IT_number 1
_space_group_name_Hall 'P 1'
_cell_length_a 5.600
_cell_length_b 5.600
_cell_length_c 5.600
_cell_angle_alpha 92.30
_cell_angle_beta 118.68
_cell_angle_gamma 118.68
loop_
_atom_site_label
_atom_site_type_symbol
_atom_site_fract_x
_atom_site_fract_y
_atom_site_fract_z
_atom_site_occupancy
H1 H 0.602 0.801 0.801 1
Ca1 Ca 0.500 0.250 0.750 1
Ag1 Ag 0.000 0.334 0.334 1
H2 H 0.000 0.199 0.801 1
H3 H 0.398 0.199 0.199 1
H4 H 0.000 0.801 0.199 1
Ag2 Ag 0.000 0.666 0.666 1
Ni1 Ni 0.000 0.000 0.000 1
Ca2 Ca 0.500 0.750 0.250 1
```

=====

Number 1: M_tot 0.00 μB/f.u.. Number 2: M_tot 0.00 μB/f.u.. Number 3: M_tot 0.00 μB/f.u.. Number 4: M_tot 0.00 μB/f.u..